1.
An optimized crystal structure of Na2LiPdF6, computed with PBE.

ρ: 3.93 g/cm³
raw total energy: -4.1988 eV/atom

CIF file:
```
data_Na2LiPdF6
_chemical_formula_sum 'Na8 Li4 Pd4 F24'
_cell_length_a 7.7290
_cell_length_b 7.7290
_cell_length_c 7.7290
_cell_angle_alpha 90.00
_cell_angle_beta 90.00
_cell_angle_gamma 90.00
_symmetry_space_group_name_H-M 'F m -3 m'
_symmetry_Int_Tables_number 225
_symmetry_space_group_name_Hall '-F 4 2 3'
loop_
_atom_site_label
_atom_site_fract_x
_atom_site_fract_y
_atom_site_fract_z
Na1 0.2500 0.2500 0.2500
Li1 0.0000 0.0000 0.0000
Pd1 0.0000 0.0000 0.5000
F1 0.0000 0.0000 0.2419
```

2.
An optimized crystal structure of GdNiSb, computed with PBE.

ρ: 9.01 g/cm³
raw total energy: -5.5212 eV/atom
size of the total moment: 0.00 μB per formula unit

CIF file:
```
data_GdNiSb
_chemical_formula_sum 'Gd3 Ni3 Sb3'
_cell_length_a 7.2108
_cell_length_b 7.2108
_cell_length_c 4.1463
_cell_angle_alpha 90.00
_cell_angle_beta 90.00
_cell_angle_gamma 120.00
_symmetry_space_group_name_H-M 'P -6 2 m'
_symmetry_Int_Tables_number 189
_symmetry_space_group_name_Hall 'P -6 -2'
loop_
_atom_site_label
_atom_site_fract_x
_atom_site_fract_y
_atom_site_fract_z
Gd1 0.0000 0.6117 0.0000
Ni1 0.0000 0.0000 0.0000
Ni2 0.3333 0.6667 0.5000
Sb1 0.0000 0.2770 0.5000
```

3.
An optimized crystal structure of SrLiHg, computed with PBE.

ρ: 5.74 g/cm³
energy above the lowest structure with this stoichiometry: 0 meV per atom

CIF file:
```
data_SrLiHg
_chemical_formula_sum 'Sr2 Li2 Hg2'
_cell_length_a 4.5913
_cell_length_b 4.5913
_cell_length_c 8.1069
_cell_angle_alpha 90.00
_cell_angle_beta 90.00
_cell_angle_gamma 90.00
_symmetry_space_group_name_H-M 'P 4/n m m'
_symmetry_Int_Tables_number 129
loop_
_symmetry_equiv_pos_as_xyz
'x,y,z'
'-x,-y,-z'
'-y+1/2,x,z'
'y+1/2,-x,-z'
'-x+1/2,-y+1/2,z'
'x+1/2,y+1/2,-z'
'y,-x+1/2,z'
'-y,x+1/2,-z'
'x+1/2,-y,-z'
'-x+1/2,y,z'
'-y,-x,-z'
'y,x,z'
'-x,y+1/2,-z'
'x,-y+1/2,z'
'y+1/2,x+1/2,-z'
'-y+1/2,-x+1/2,z'
loop_
_atom_site_label
_atom_site_fract_x
_atom_site_fract_y
_atom_site_fract_z
Sr1 0.2500 0.2500 0.1587
Li1 0.2500 0.7500 0.5000
Hg1 0.2500 0.2500 0.7169
```

4.
An optimized crystal structure of Sr2Cd5Ag5, computed with PBE.

ρ: 7.41 g/cm³
raw total energy: -2.0755 eV/atom

CIF file:
```
data_Sr2Cd5Ag5
_chemical_formula_sum 'Sr2 Cd5 Ag5'
_cell_length_a 4.7492
_cell_length_b 5.9065
_cell_length_c 10.1950
_cell_angle_alpha 90.00
_cell_angle_beta 90.00
_cell_angle_gamma 90.00
_symmetry_space_group_name_H-M 'P m m m'
_symmetry_Int_Tables_number 47
_symmetry_space_group_name_Hall '-P 2 2'
loop_
_atom_site_label
_atom_site_fract_x
_atom_site_fract_y
_atom_site_fract_z
Sr1 0.0000 0.0000 0.0000
Sr2 0.0000 0.5000 0.5000
Cd1 0.5000 0.0000 0.5000
Cd2 0.5000 0.2506 0.2447
Ag1 0.0000 0.0000 0.3329
Ag2 0.0000 0.5000 0.1638
Ag3 0.5000 0.5000 0.0000
```

5.
An optimized crystal structure of NbIBr4, computed with PBE.

ρ: 4.19 g/cm³
energy above the lowest structure with this stoichiometry: 0 meV per atom
size of the total moment: 0.01 μB per formula unit

CIF file:
```
data_NbIBr4
_chemical_formula_sum 'Nb2 I2 Br8'
_cell_length_a 6.8103
_cell_length_b 7.3340
_cell_length_c 10.1176
_cell_angle_alpha 108.36
_cell_angle_beta 91.87
_cell_angle_gamma 114.81
_symmetry_space_group_name_H-M 'P -1'
_symmetry_Int_Tables_number 2
_symmetry_space_group_name_Hall '-P 1'
loop_
_atom_site_label
_atom_site_fract_x
_atom_site_fract_y
_atom_site_fract_z
Nb1 0.1112 0.2289 0.2300
I1 0.2514 0.1910 0.9535
Br1 0.0724 0.8174 0.5701
Br2 0.1140 0.6146 0.8452
Br3 0.3070 0.0154 0.2535
Br4 0.4422 0.5750 0.3307
```

6.
An optimized crystal structure of GeAsPt, computed with PBE.

ρ: 9.87 g/cm³
energy above the lowest structure with this stoichiometry: 0 meV per atom
size of the total moment: 0.00 μB per formula unit

CIF file:
```
data_GeAsPt
_chemical_formula_sum 'Ge4 As4 Pt4'
_cell_length_a 6.1327
_cell_length_b 6.1327
_cell_length_c 6.1327
_cell_angle_alpha 90.00
_cell_angle_beta 90.00
_cell_angle_gamma 90.00
_symmetry_space_group_name_H-M 'F -4 3 m'
_symmetry_Int_Tables_number 216
_symmetry_space_group_name_Hall 'F -4 2 3'
loop_
_atom_site_label
_atom_site_fract_x
_atom_site_fract_y
_atom_site_fract_z
Ge1 0.0000 0.0000 0.0000
As1 0.0000 0.0000 0.5000
Pt1 0.2500 0.2500 0.7500
```

7.
An optimized crystal structure of RbMgFeTc, computed with PBE.

ρ: 5.13 g/cm³
energy above the lowest structure with this stoichiometry: 200 meV per atom
size of the total moment: 4.78 μB per formula unit

CIF file:
```
data_RbMgFeTc
_chemical_formula_sum 'Rb4 Mg4 Fe4 Tc4'
_cell_length_a 6.9897
_cell_length_b 6.9897
_cell_length_c 6.9897
_cell_angle_alpha 90.00
_cell_angle_beta 90.00
_cell_angle_gamma 90.00
_symmetry_space_group_name_H-M 'F -4 3 m'
_symmetry_Int_Tables_number 216
_symmetry_space_group_name_Hall 'F -4 2 3'
loop_
_atom_site_label
_atom_site_fract_x
_atom_site_fract_y
_atom_site_fract_z
Rb1 0.0000 0.0000 0.0000
Mg1 0.0000 0.0000 0.5000
Fe1 0.2500 0.2500 0.7500
Tc1 0.2500 0.2500 0.2500
```

8.
An optimized crystal structure of CsTcAgTe3, computed with PBE.

ρ: 6.32 g/cm³
energy above the lowest structure with this stoichiometry: 86 meV per atom
size of the total moment: 2.34 μB per formula unit

CIF file:
```
data_CsTcAgTe3
_chemical_formula_sum 'Cs4 Tc4 Ag4 Te12'
_cell_length_a 4.0462
_cell_length_b 17.2697
_cell_length_c 10.8535
_cell_angle_alpha 90.00
_cell_angle_beta 90.00
_cell_angle_gamma 90.00
_symmetry_space_group_name_H-M 'C m c m'
_symmetry_Int_Tables_number 63
_symmetry_space_group_name_Hall '-C 2c 2'
loop_
_atom_site_label
_atom_site_fract_x
_atom_site_fract_y
_atom_site_fract_z
Cs1 0.0000 0.2385 0.2500
Tc1 0.0000 0.0000 0.0000
Ag1 0.0000 0.4543 0.7500
Te1 0.0000 0.0644 0.7500
Te2 0.0000 0.3893 0.5218
```

9.
An optimized crystal structure of Tc6NiIr, computed with PBE.

ρ: 12.39 g/cm³
E_form: -160 meV per atom
size of the total moment: 0.00 μB per formula unit

CIF file:
```
data_Tc6NiIr
_chemical_formula_sum 'Tc6 Ni1 Ir1'
_cell_length_a 5.4693
_cell_length_b 5.4693
_cell_length_c 4.3415
_cell_angle_alpha 90.00
_cell_angle_beta 90.00
_cell_angle_gamma 120.00
_symmetry_space_group_name_H-M 'P -6 m 2'
_symmetry_Int_Tables_number 187
_symmetry_space_group_name_Hall 'P -6 2'
loop_
_atom_site_label
_atom_site_fract_x
_atom_site_fract_y
_atom_site_fract_z
Tc1 0.0120 0.5060 0.0000
Tc2 0.1669 0.3338 0.5000
Ni1 0.0000 0.0000 0.0000
Ir1 0.6667 0.3333 0.5000
```

10.
An optimized crystal structure of NaSrSmS3, computed with PBE.

ρ: 3.94 g/cm³
energy above the lowest structure with this stoichiometry: 150 meV per atom
size of the total moment: 0.00 μB per formula unit

CIF file:
```
data_NaSrSmS3
_chemical_formula_sum 'Na4 Sr4 Sm4 S12'
_cell_length_a 10.7189
_cell_length_b 4.1888
_cell_length_c 13.3969
_cell_angle_alpha 90.00
_cell_angle_beta 90.00
_cell_angle_gamma 90.00
_symmetry_space_group_name_H-M 'P n m a'
_symmetry_Int_Tables_number 62
_symmetry_space_group_name_Hall '-P 2ac 2n'
loop_
_atom_site_label
_atom_site_fract_x
_atom_site_fract_y
_atom_site_fract_z
Na1 0.2303 0.2500 0.2344
Sr1 0.2118 0.7500 0.9997
Sm1 0.0181 0.2500 0.7358
S1 0.0370 0.2500 0.1200
S2 0.0866 0.7500 0.6105
S3 0.2381 0.7500 0.3433
```

11.
An optimized crystal structure of NdGd2PdPt2Pb3, computed with PBE.

ρ: 12.24 g/cm³
raw total energy: -5.5408 eV/atom
size of the total moment: 0.00 μB per formula unit

CIF file:
```
data_NdGd2PdPt2Pb3
_chemical_formula_sum 'Nd2 Gd4 Pd2 Pt4 Pb6'
_cell_length_a 4.0080
_cell_length_b 13.6190
_cell_length_c 7.8377
_cell_angle_alpha 90.00
_cell_angle_beta 90.00
_cell_angle_gamma 90.00
_symmetry_space_group_name_H-M 'A m m 2'
_symmetry_Int_Tables_number 38
_symmetry_space_group_name_Hall 'A 2 -2'
loop_
_atom_site_label
_atom_site_fract_x
_atom_site_fract_y
_atom_site_fract_z
Nd1 0.0000 0.0000 0.0000
Gd1 0.0000 0.2039 0.6113
Pd1 0.0000 0.0000 0.4116
Pt1 0.5000 0.1697 0.9060
Pb1 0.5000 0.0000 0.6678
Pb2 0.5000 0.1299 0.2783
```

12.
An optimized crystal structure of PtSO4, computed with PBE.

ρ: 6.36 g/cm³
raw total energy: -5.8162 eV/atom
size of the total moment: 0.00 μB per formula unit

CIF file:
```
data_PtSO4
_chemical_formula_sum 'Pt4 S4 O16'
_cell_length_a 4.0605
_cell_length_b 8.4784
_cell_length_c 8.8315
_cell_angle_alpha 90.00
_cell_angle_beta 90.00
_cell_angle_gamma 90.00
_symmetry_space_group_name_H-M 'I b a m'
_symmetry_Int_Tables_number 72
_symmetry_space_group_name_Hall '-I 2 2c'
loop_
_atom_site_label
_atom_site_fract_x
_atom_site_fract_y
_atom_site_fract_z
Pt1 0.0000 0.0000 0.0000
S1 0.0000 0.5000 0.2500
O1 0.2061 0.3909 0.1553
```

13.
An optimized crystal structure of FeHgTe3Pb, computed with PBE.

ρ: 7.66 g/cm³
energy above the lowest structure with this stoichiometry: 17 meV per atom
size of the total moment: 3.63 μB per formula unit

CIF file:
```
data_FeHgTe3Pb
_chemical_formula_sum 'Fe4 Hg4 Te12 Pb4'
_cell_length_a 4.2589
_cell_length_b 13.2025
_cell_length_c 13.0465
_cell_angle_alpha 90.00
_cell_angle_beta 90.00
_cell_angle_gamma 90.00
_symmetry_space_group_name_H-M 'C m c m'
_symmetry_Int_Tables_number 63
_symmetry_space_group_name_Hall '-C 2c 2'
loop_
_atom_site_label
_atom_site_fract_x
_atom_site_fract_y
_atom_site_fract_z
Fe1 0.0000 0.0528 0.2500
Hg1 0.0000 0.5000 0.0000
Te1 0.0000 0.1464 0.0762
Te2 0.0000 0.4375 0.2500
Pb1 0.0000 0.2662 0.7500
```

14.
An optimized crystal structure of Th3Co, computed with PBE.

ρ: 11.94 g/cm³
E_form: 319 meV per atom
size of the total moment: 0.02 μB per formula unit

CIF file:
```
data_Th3Co
_chemical_formula_sum 'Th6 Co2'
_cell_length_a 4.5725
_cell_length_b 4.5725
_cell_length_c 10.0473
_cell_angle_alpha 90.00
_cell_angle_beta 90.00
_cell_angle_gamma 90.00
_symmetry_space_group_name_H-M 'I 4/m m m'
_symmetry_Int_Tables_number 139
_symmetry_space_group_name_Hall '-I 4 2'
loop_
_atom_site_label
_atom_site_fract_x
_atom_site_fract_y
_atom_site_fract_z
Th1 0.0000 0.0000 0.0000
Th2 0.0000 0.5000 0.2500
Co1 0.0000 0.0000 0.5000
```

15.
An optimized crystal structure of Ag2HgBi, computed with PBE.

ρ: 11.51 g/cm³
raw total energy: -2.2878 eV/atom

CIF file:
```
data_Ag2HgBi
_chemical_formula_sum 'Ag8 Hg4 Bi4'
_cell_length_a 7.1188
_cell_length_b 7.1188
_cell_length_c 7.1188
_cell_angle_alpha 90.00
_cell_angle_beta 90.00
_cell_angle_gamma 90.00
_symmetry_space_group_name_H-M 'F -4 3 m'
_symmetry_Int_Tables_number 216
_symmetry_space_group_name_Hall 'F -4 2 3'
loop_
_atom_site_label
_atom_site_fract_x
_atom_site_fract_y
_atom_site_fract_z
Ag1 0.0000 0.0000 0.0000
Ag2 0.2500 0.2500 0.2500
Hg1 0.2500 0.2500 0.7500
Bi1 0.0000 0.0000 0.5000
```

16.
An optimized crystal structure of NbInGe, computed with PBE.

ρ: 6.82 g/cm³
raw total energy: -5.3079 eV/atom
size of the total moment: 1.39 μB per formula unit

CIF file:
```
data_NbInGe
_chemical_formula_sum 'Nb4 In4 Ge4'
_cell_length_a 6.4888
_cell_length_b 6.4888
_cell_length_c 6.4888
_cell_angle_alpha 90.00
_cell_angle_beta 90.00
_cell_angle_gamma 90.00
_symmetry_space_group_name_H-M 'F -4 3 m'
_symmetry_Int_Tables_number 216
_symmetry_space_group_name_Hall 'F -4 2 3'
loop_
_atom_site_label
_atom_site_fract_x
_atom_site_fract_y
_atom_site_fract_z
Nb1 0.0000 0.0000 0.0000
In1 0.2500 0.2500 0.2500
Ge1 0.2500 0.2500 0.7500
```

17.
An optimized crystal structure of Rb2CdAuF6, computed with PBE.

ρ: 6.00 g/cm³
raw total energy: -3.7156 eV/atom

CIF file:
```
data_Rb2CdAuF6
_chemical_formula_sum 'Rb4 Cd2 Au2 F12'
_cell_length_a 5.8704
_cell_length_b 5.8831
_cell_length_c 11.1700
_cell_angle_alpha 90.00
_cell_angle_beta 121.44
_cell_angle_gamma 90.00
_symmetry_space_group_name_H-M 'P 1 21/c 1'
_symmetry_Int_Tables_number 14
_symmetry_space_group_name_Hall '-P 2ybc'
loop_
_atom_site_label
_atom_site_fract_x
_atom_site_fract_y
_atom_site_fract_z
Rb1 0.2461 0.0301 0.2505
Cd1 0.5000 0.0000 0.0000
Au1 0.0000 0.0000 0.5000
F1 0.1527 0.1851 0.9804
F2 0.2982 0.5196 0.2737
F3 0.3058 0.6710 0.9895
```

18.
An optimized crystal structure of GdMgPa, computed with PBE.

ρ: 7.40 g/cm³
energy above the lowest structure with this stoichiometry: 0 meV per atom
size of the total moment: 0.99 μB per formula unit

CIF file:
```
data_GdMgPa
_chemical_formula_sum 'Gd4 Mg4 Pa4'
_cell_length_a 7.1805
_cell_length_b 7.1805
_cell_length_c 7.1805
_cell_angle_alpha 90.00
_cell_angle_beta 90.00
_cell_angle_gamma 90.00
_symmetry_space_group_name_H-M 'F -4 3 m'
_symmetry_Int_Tables_number 216
_symmetry_space_group_name_Hall 'F -4 2 3'
loop_
_atom_site_label
_atom_site_fract_x
_atom_site_fract_y
_atom_site_fract_z
Gd1 0.0000 0.0000 0.0000
Mg1 0.2500 0.2500 0.2500
Pa1 0.0000 0.0000 0.5000
```